No. 1
Compound: AsRh3Br
Source: Alexandria
Functional: GGA-PBE
Structure: relaxed

POSCAR file:
```
AsRh3Br
1.0
-0.757 4.282 -1.535
-4.512 -0.510 0.804
0.577 1.634 4.273
As Rh Br
1 3 1
Cartesian
-2.346 2.703 1.771
-2.256 -0.255 0.402
0.288 0.817 2.137
-0.379 2.141 -0.768
0.000 0.000 0.000
```

Results
- E (eV/atom) = -4.625
- space group = No. 221
- ΔE_f (raw) (eV per formula unit) = 5.3



No. 2
Compound: AsRh2Br
Source: Alexandria
Functional: GGA-PBE
Structure: relaxed

POSCAR file:
```
AsRh2Br
1.0
2.980 0.002 0.000
-1.549 2.546 0.000
0.000 0.000 9.958
As Rh Br
1 2 1
Cartesian
0.000 0.000 4.399
0.000 0.000 0.135
0.716 1.274 2.413
0.716 1.274 7.989
```

Results
- E (eV/atom) = -4.896
- space group = No. 35
- ΔE_f (raw) (eV per formula unit) = 1.4